A relaxed structure of Dy5Ir2Se2, computed with PBE.

Cell and atoms, written as POSCAR:
```
Dy5Ir2Se2
1.0
7.4627 -3.8286 0.0000
7.4627 3.8286 0.0000
0.0000 0.0000 7.6354
Dy Ir Se
10 4 4
direct
0.0000 0.0000 0.0000
0.0370 0.7144 0.6569
0.2144 0.5370 0.1569
0.2856 0.9630 0.6569
0.4630 0.7856 0.1569
0.5000 0.5000 0.5000
0.5370 0.2144 0.8431
0.7144 0.0370 0.3431
0.7856 0.4630 0.8431
0.9630 0.2856 0.3431
0.1391 0.8609 0.3622
0.3609 0.6391 0.8622
0.6391 0.3609 0.1378
0.8609 0.1391 0.6378
0.2073 0.2073 0.0000
0.2927 0.2927 0.5000
0.7073 0.7073 0.5000
0.7927 0.7927 0.0000
```

E_form (uncorrected)   -1203 meV/atom
Space-group type   No. 64

***

A relaxed structure of Ac2MgSn2Rh5, computed with PBE.

Cell and atoms, written as POSCAR:
```
Ac2MgSn2Rh5
1.0
10.6400 0.0000 0.0000
0.0000 10.6400 0.0000
0.0000 0.0000 3.7592
Ac Mg Sn Rh
4 2 4 10
direct
0.1751 0.3249 0.0000
0.3249 0.8249 0.0000
0.6751 0.1751 0.0000
0.8249 0.6751 0.0000
0.0000 0.0000 0.0000
0.5000 0.5000 0.0000
0.1234 0.6234 0.0000
0.3766 0.1234 0.0000
0.6234 0.8766 0.0000
0.8766 0.3766 0.0000
0.0000 0.5000 0.5000
0.0618 0.7926 0.5000
0.2074 0.0618 0.5000
0.2926 0.5618 0.5000
0.4382 0.2926 0.5000
0.5000 0.0000 0.5000
0.5618 0.7074 0.5000
0.7074 0.4382 0.5000
0.7926 0.9382 0.5000
0.9382 0.2074 0.5000
```

Space-group type   No. 127
Calculated formation energy   -0.4446 eV per atom

***

A relaxed structure of Dy2Si3, computed with PBE.

Cell and atoms, written as POSCAR:
```
Dy2Si3
1.0
2.0623 -12.2599 0.0000
2.0623 12.2599 0.0000
0.0000 0.0000 3.9462
Dy Si
4 6
direct
0.0695 0.9305 0.7500
0.2027 0.7973 0.2500
0.7973 0.2027 0.7500
0.9305 0.0695 0.2500
0.3225 0.6775 0.2500
0.3809 0.6191 0.7500
0.4752 0.5248 0.7500
0.5248 0.4752 0.2500
0.6191 0.3809 0.2500
0.6775 0.3225 0.7500
```

E_form (uncorrected)   -673 meV/atom
E above lowest polymorph   0.00 eV per formula unit
Space-group type   No. 63

***

Number 1: DOS at the Fermi energy 0.778 states/eV/atom. Number 2: DOS at the Fermi energy 0.436 states/eV/atom. Number 3: DOS at the Fermi energy 0.344 states/eV/atom.